Here is crystalline AcTm2MgCd4 at its relaxed geometry from Alexandria via LeMat-Bulk. Energies are from GGA-PBE.

Cell: 9.869 9.869 9.869 Å, 30.30 30.30 30.30°
Sites, in units of the cell vectors:
Ac1 0.000 0.000 0.000
Tm1 0.240 0.240 0.240
Tm2 0.760 0.760 0.760
Mg1 0.500 0.500 0.500
Cd1 0.128 0.128 0.128
Cd2 0.392 0.392 0.392
Cd3 0.608 0.608 0.608
Cd4 0.872 0.872 0.872

Calculated values
space-group type: No. 166
crystal system: trigonal
energy of formation: -229 meV/atom

=====

Here is crystalline AcYMg2Cd4 at its relaxed geometry from Alexandria via LeMat-Bulk. Energies are from GGA-PBE.

Cell: 9.218 9.218 9.218 Å, 32.91 32.91 32.91°
Sites, in units of the cell vectors:
Ac1 0.000 0.000 0.000
Y1 0.500 0.500 0.500
Mg1 0.247 0.247 0.247
Mg2 0.753 0.753 0.753
Cd1 0.129 0.129 0.129
Cd2 0.383 0.383 0.383
Cd3 0.617 0.617 0.617
Cd4 0.871 0.871 0.871

Calculated values
space-group type: No. 166
crystal system: trigonal
energy of formation: -286 meV/atom

=====

Here is crystalline AcYMgCd at its relaxed geometry from Alexandria via LeMat-Bulk. Energies are from GGA-PBE.

Cell: 3.900 3.900 8.011 Å, 90.00 90.00 90.00°
Sites, in units of the cell vectors:
Ac1 0.000 0.000 0.000
Y1 0.000 0.000 0.495
Mg1 0.500 0.500 0.717
Cd1 0.500 0.500 0.286

Calculated values
space-group type: No. 99
distance to the lowest polymorph of the same formula: 0 meV per atom
crystal system: tetragonal
energy of formation: -191 meV/atom

=====

Here is crystalline AcYMgCd at its relaxed geometry from Alexandria via LeMat-Bulk. Energies are from GGA-PBE.

Cell: 5.579 5.579 5.579 Å, 60.00 60.00 60.00°
Sites, in units of the cell vectors:
Ac1 0.000 0.000 0.000
Y1 0.500 0.500 0.500
Mg1 0.250 0.250 0.250
Cd1 0.750 0.750 0.750

Calculated values
space-group type: No. 216
distance to the lowest polymorph of the same formula: 25 meV per atom
crystal system: cubic
energy of formation: -167 meV/atom

=====

Here is crystalline AcMgZn2Cd4 at its relaxed geometry from Alexandria via LeMat-Bulk. Energies are from GGA-PBE.

Cell: 10.270 10.270 10.270 Å, 26.51 26.51 26.51°
Sites, in units of the cell vectors:
Ac1 0.000 0.000 0.000
Mg1 0.500 0.500 0.500
Zn1 0.250 0.250 0.250
Zn2 0.750 0.750 0.750
Cd1 0.126 0.126 0.126
Cd2 0.402 0.402 0.402
Cd3 0.598 0.598 0.598
Cd4 0.874 0.874 0.874

Calculated values
space-group type: No. 166
crystal system: trigonal
energy of formation: -125 meV/atom

=====

Here is crystalline AcMgZnCd at its relaxed geometry from Alexandria via LeMat-Bulk. Energies are from GGA-PBE.

Cell: 5.301 5.301 5.301 Å, 60.00 60.00 60.00°
Sites, in units of the cell vectors:
Ac1 0.000 0.000 0.000
Mg1 0.500 0.500 0.500
Zn1 0.750 0.750 0.750
Cd1 0.250 0.250 0.250

Calculated values
space-group type: No. 216
crystal system: cubic
energy of formation: -234 meV/atom

=====

Here is crystalline Ac2Mg4Zn3Cd at its relaxed geometry from Alexandria via LeMat-Bulk. Energies are from GGA-PBE.

Cell: 4.857 4.857 10.710 Å, 90.00 90.00 90.00°
Sites, in units of the cell vectors:
Ac1 0.000 0.500 0.243
Ac2 0.500 0.000 0.757
Mg1 0.000 0.000 0.500
Mg2 0.000 0.500 0.868
Mg3 0.500 0.000 0.132
Mg4 0.500 0.500 0.500
Zn1 0.000 0.000 0.000
Zn2 0.000 0.500 0.624
Zn3 0.500 0.000 0.376
Cd1 0.500 0.500 0.000

Calculated values
space-group type: No. 115
crystal system: tetragonal
energy of formation: -165 meV/atom

=====

Here is crystalline Ac2MgZn3Cd4 at its relaxed geometry from Alexandria via LeMat-Bulk. Energies are from GGA-PBE.

Cell: 4.526 4.526 12.214 Å, 90.00 90.00 90.00°
Sites, in units of the cell vectors:
Ac1 0.000 0.500 0.237
Ac2 0.500 0.000 0.763
Mg1 0.000 0.000 0.500
Zn1 0.000 0.500 0.866
Zn2 0.500 0.000 0.134
Zn3 0.500 0.500 0.500
Cd1 0.000 0.000 0.000
Cd2 0.000 0.500 0.642
Cd3 0.500 0.000 0.358
Cd4 0.500 0.500 0.000

Calculated values
space-group type: No. 115
crystal system: tetragonal
energy of formation: -247 meV/atom

=====

| no. | calculated total energy (eV per atom) | M_tot (μB per formula unit) |
| --- | --- | --- |
| 1 | -2.52 | 0.000 |
| 2 | -2.46 | 0.000 |
| 3 | -3.46 | 0.000 |
| 4 | -3.44 | 0.000 |
| 5 | -1.61 | 0.000 |
| 6 | -2.21 | 0.000 |
| 7 | -2.10 | 0.000 |
| 8 | -1.98 | 0.000 |